1.
# CsBeH3 | Alexandria | GGA-PBEsol | optimized geometry
data_CsBeH3
_space_group_name_H-M_alt 'P 1 21/m 1'
_space_group_IT_number 11
_cell_length_a 5.009
_cell_length_b 5.711
_cell_length_c 7.462
_cell_angle_alpha 90.00
_cell_angle_beta 108.85
_cell_angle_gamma 90.00
loop_
_space_group_symop_operation_xyz
'x,y,z'
'-x,-y,-z'
'-x,y+1/2,-z'
'x,-y+1/2,z'
loop_
_atom_site_label
_atom_site_fract_x
_atom_site_fract_y
_atom_site_fract_z
Cs1 0.061 0.250 0.263
Be1 0.478 0.750 0.277
H1 0.195 0.750 0.158
H2 0.381 0.036 0.661
# Magnetic moment in μB/atom: 0.0000
# DOS(E_F) in states/eV/atom: 0.000
# Calculated total energy in eV per cell: -30.4

***

2.
# CsHf2Be | Alexandria | GGA-PBEsol | optimized geometry
data_CsHf2Be
_space_group_name_H-M_alt 'I 41/a m d'
_space_group_IT_number 141
_cell_length_a 5.782
_cell_length_b 5.782
_cell_length_c 15.822
_cell_angle_alpha 90.00
_cell_angle_beta 90.00
_cell_angle_gamma 90.00
loop_
_space_group_symop_operation_xyz
'x,y,z'
'-x,-y,-z'
'-y+1/4,x+3/4,z+1/4'
'y+1/4,-x+3/4,-z+1/4'
'-x+1/2,-y,z+1/2'
'x+1/2,y,-z+1/2'
'y+1/4,-x+1/4,z+3/4'
'-y+1/4,x+1/4,-z+3/4'
'x,-y,-z'
'-x,y,z'
'-y+1/4,-x+1/4,-z+3/4'
'y+1/4,x+1/4,z+3/4'
'-x+1/2,y,-z+1/2'
'x+1/2,-y,z+1/2'
'y+1/4,x+3/4,-z+1/4'
'-y+1/4,-x+3/4,z+1/4'
'x+1/2,y+1/2,z+1/2'
'-x+1/2,-y+1/2,-z+1/2'
'-y+3/4,x+1/4,z+3/4'
'y+3/4,-x+1/4,-z+3/4'
'-x,-y+1/2,z'
'x,y+1/2,-z'
'y+3/4,-x+3/4,z+1/4'
'-y+3/4,x+3/4,-z+1/4'
'x+1/2,-y+1/2,-z+1/2'
'-x+1/2,y+1/2,z+1/2'
'-y+3/4,-x+3/4,-z+1/4'
'y+3/4,x+3/4,z+1/4'
'-x,y+1/2,-z'
'x,-y+1/2,z'
'y+3/4,x+1/4,-z+3/4'
'-y+3/4,-x+1/4,z+3/4'
loop_
_atom_site_label
_atom_site_fract_x
_atom_site_fract_y
_atom_site_fract_z
Cs1 0.000 0.250 0.375
Hf1 0.000 0.000 0.000
Be1 0.000 0.250 0.875
# Magnetic moment in μB/atom: 0.0020
# DOS(E_F) in states/eV/atom: 1.310
# ΔE_f in meV per atom: 1575